1.
Entry from the Alexandria database: a relaxed structure of K2TaSb (PBE).

The calculated volume is 40.11 A^3/atom. Its density of states at the Fermi level is 0.774 states/eV per atom. The calculation puts the total magnetization at 3.299 Bohr magnetons per cell. The calculation puts the uncorrected formation energy at 0.4700 eV/atom. The uncorrected energy comes out at -4.0725 eV per atom.

a b c (Å): 3.5862 4.3071 20.7714
angles (deg): 90.00 90.00 90.00
Sites, in units of the cell vectors:
K 0.0000 0.0000 0.1531
K 0.0000 0.0000 0.8469
K 0.5000 0.5000 0.3469
K 0.5000 0.5000 0.6531
Ta 0.0000 0.5000 0.0000
Ta 0.5000 0.0000 0.5000
Sb 0.0000 0.5000 0.5000
Sb 0.5000 0.0000 0.0000


2.
Entry from the Alexandria database: a relaxed structure of NdSm6Y3Th2 (PBE).

The calculated volume is 33.34 A^3/atom. Its density of states at the Fermi level is 1.468 states/eV per atom. The calculation puts the total magnetization at 0.000 Bohr magnetons per cell. For the formation energy, the calculation gives 0.04 eV/atom. The uncorrected energy comes out at -5.5724 eV per atom.

a b c (Å): 6.2552 6.2552 11.9821
angles (deg): 95.00 95.00 119.93
Sites, in units of the cell vectors:
Nd 0.0000 0.0000 0.0000
Sm 0.0834 0.4216 0.2479
Sm 0.2548 0.2548 0.7518
Sm 0.4216 0.0834 0.2479
Sm 0.5784 0.9166 0.7521
Sm 0.7452 0.7452 0.2482
Sm 0.9166 0.5784 0.7521
Y 0.1666 0.8334 0.5000
Y 0.5000 0.5000 0.5000
Y 0.8334 0.1666 0.5000
Th 0.3333 0.6667 0.0000
Th 0.6667 0.3333 0.0000


Q: The lowest density of states at the Fermi level belongs to which entry?
A: K2TaSb


Q: What is the formula in the second record?
A: NdSm6Y3Th2